A relaxed CrSb2SeI crystal, computed with GGA-PBE.

Properties
- theoretical density (g/cm³) = 6.13
- formation energy (no corrections) (meV per atom) = 477
- D(E_F) (states/eV/cell) = 4.86
- calculated volume (Å³/atom) = 27.17
- offset from the most stable computed form (eV per atom) = 0.000
- VASP energy (eV/atom) = -4.1039

Cell: 5.1693 5.1693 5.0845 Å, 90.00 90.00 90.00°
Last column: nearest neighbours and their distance in Å.
Element x y z (fractional)
Cr: 0.0000 0.0000 0.0000  2 I 2.54, 4 Sb 2.58
Sb: 0.0000 0.5000 0.0000  2 Cr 2.58
Sb: 0.5000 0.0000 0.0000  2 Cr 2.58
Se: 0.5000 0.5000 0.5000  8 Sb 3.63, 4 I 3.66
I: 0.0000 0.0000 0.5000  2 Cr 2.54



A relaxed TbHoErCd crystal, computed with GGA-PBE.

Properties
- theoretical density (g/cm³) = 8.72
- D(E_F) (states/eV/cell) = 4.95
- calculated volume (Å³/atom) = 28.75
- DFT formation energy (eV per formula unit) = -0.6
- offset from the most stable computed form (eV per atom) = 0.000
- VASP energy (eV/atom) = -3.8133

Cell: 3.5667 3.5667 9.0390 Å, 90.00 90.00 90.00°
Last column: nearest neighbours and their distance in Å.
Element x y z (fractional)
Tb: 0.0000 0.0000 0.0000  4 Cd 3.28, 4 Er 3.52, 4 Tb 3.57
Ho: 0.0000 0.0000 0.5405  4 Cd 3.25, 4 Er 3.50, 4 Ho 3.57
Er: 0.5000 0.5000 0.2714  4 Ho 3.50, 4 Tb 3.52, 4 Er 3.57
Cd: 0.5000 0.5000 0.7674  4 Ho 3.25, 4 Tb 3.28, 4 Cd 3.57



A relaxed K2TiIn2 crystal, computed with GGA-PBE.

Properties
- theoretical density (g/cm³) = 2.94
- D(E_F) (states/eV/cell) = 4.71
- calculated volume (Å³/atom) = 40.19
- DFT formation energy (eV per formula unit) = 3.2
- offset from the most stable computed form (eV per atom) = 0.301
- VASP energy (eV/atom) = -2.4707

Cell: 12.2330 12.2330 12.2330 Å, 160.65 160.65 27.50°
Last column: nearest neighbours and their distance in Å.
Element x y z (fractional)
K: 0.1107 0.1107 0.0000  4 In 3.90, 4 Ti 3.92, 4 K 4.11
K: 0.8893 0.8893 0.0000  4 In 3.90, 4 Ti 3.92, 4 K 4.11
Ti: 0.5000 0.5000 0.0000  8 K 3.92, 4 Ti 4.11
In: 0.2500 0.7500 0.5000  4 In 2.91
In: 0.7500 0.2500 0.5000  4 In 2.91



A relaxed ZrVCr2 crystal, computed with GGA-PBE.

Properties
- theoretical density (g/cm³) = 5.61
- D(E_F) (states/eV/cell) = 10.98
- calculated volume (Å³/atom) = 18.22
- DFT formation energy (eV per formula unit) = 3.8
- offset from the most stable computed form (eV per atom) = 0.745
- VASP energy (eV/atom) = -8.2905

Cell: 8.5091 8.5091 8.5091 Å, 150.86 150.86 41.68°
Last column: nearest neighbours and their distance in Å.
Element x y z (fractional)
Zr: 0.3750 0.6250 0.7500  4 V 3.03, 8 Cr 3.11
Zr: 0.6250 0.3750 0.2500  4 V 3.03, 8 Cr 3.11
V: 0.1250 0.8750 0.2500  4 Cr 2.26
V: 0.8750 0.1250 0.7500  4 Cr 2.26
Cr: 0.0000 0.0000 0.0000  2 Cr 2.14, 2 V 2.26
Cr: 0.0000 0.0000 0.5000  2 Cr 2.14, 2 V 2.26
Cr: 0.0000 0.5000 0.0000  2 Cr 2.14, 2 V 2.26
Cr: 0.5000 0.0000 0.5000  2 Cr 2.14, 2 V 2.26



A relaxed RbTl5Au3 crystal, computed with GGA-PBE.

Properties
- theoretical density (g/cm³) = 10.11
- D(E_F) (states/eV/cell) = 6.68
- calculated volume (Å³/atom) = 31.00
- DFT formation energy (eV per formula unit) = -0.6
- VASP energy (eV/atom) = -2.5835

Cell: 8.1084 8.1084 15.8467 Å, 90.00 90.00 147.62°
Last column: nearest neighbours and their distance in Å.
Element x y z (fractional)
Rb: 0.1739 0.8261 0.7500  6 Au 3.94-4.20, 8 Tl 4.05-4.22
Rb: 0.8261 0.1739 0.2500  6 Au 3.94-4.20, 8 Tl 4.05-4.22
Tl: 0.0000 0.0000 0.0000  4 Au 3.04, 6 Tl 3.32
Tl: 0.0000 0.0000 0.5000  4 Au 3.04, 6 Tl 3.32
Tl: 0.1973 0.8027 0.0799  4 Au 2.86-3.08
Tl: 0.1973 0.8027 0.4201  4 Au 2.86-3.08
Tl: 0.4687 0.5313 0.6500  4 Au 3.08-3.24, 3 Tl 3.17-3.32
Tl: 0.4687 0.5313 0.8500  4 Au 3.08-3.24, 3 Tl 3.17-3.32
Tl: 0.5313 0.4687 0.1500  4 Au 3.08-3.24, 3 Tl 3.17-3.32
Tl: 0.5313 0.4687 0.3500  4 Au 3.08-3.24, 3 Tl 3.17-3.32
Tl: 0.8027 0.1973 0.5799  4 Au 2.86-3.08
Tl: 0.8027 0.1973 0.9201  4 Au 2.86-3.08
Au: 0.1189 0.8811 0.2500  6 Tl 2.96-3.08
Au: 0.3741 0.6259 0.0320  6 Tl 2.86-3.08
Au: 0.3741 0.6259 0.4680  6 Tl 2.86-3.08
Au: 0.6259 0.3741 0.5320  6 Tl 2.86-3.08
Au: 0.6259 0.3741 0.9680  6 Tl 2.86-3.08
Au: 0.8811 0.1189 0.7500  6 Tl 2.96-3.08



A relaxed Nd2Si2Tc crystal, computed with GGA-PBE.

Properties
- theoretical density (g/cm³) = 6.07
- formation energy (no corrections) (meV per atom) = -492
- D(E_F) (states/eV/cell) = 7.08
- calculated volume (Å³/atom) = 24.23
- offset from the most stable computed form (eV per atom) = 0.150
- VASP energy (eV/atom) = -6.6413

Cell: 7.5518 7.5518 7.5518 Å, 129.16 72.46 132.06°
Last column: nearest neighbours and their distance in Å.
Element x y z (fractional)
Nd: 0.1436 0.1895 0.3332  5 Si 3.06-3.17, 2 Tc 3.08
Nd: 0.3564 0.6895 0.0459  5 Si 3.06-3.17, 2 Tc 3.08
Nd: 0.6436 0.3105 0.9541  5 Si 3.06-3.17, 2 Tc 3.08
Nd: 0.8564 0.8105 0.6668  5 Si 3.06-3.17, 2 Tc 3.08
Si: 0.1023 0.7163 0.8187  2 Tc 2.42
Si: 0.3977 0.2163 0.6140  2 Tc 2.42
Si: 0.6023 0.7837 0.3860  2 Tc 2.42
Si: 0.8977 0.2837 0.1813  2 Tc 2.42
Tc: 0.2500 0.7500 0.5000  4 Si 2.42
Tc: 0.7500 0.2500 0.5000  4 Si 2.42



A relaxed VCu3Se crystal, computed with GGA-PBE.

Properties
- theoretical density (g/cm³) = 5.49
- formation energy (no corrections) (meV per atom) = 1318
- D(E_F) (states/eV/cell) = 6.09
- calculated volume (Å³/atom) = 19.40
- offset from the most stable computed form (eV per atom) = 0.455
- VASP energy (eV/atom) = -3.6603

Cell: 4.5947 4.5947 4.5947 Å, 90.00 90.00 90.00°
Last column: nearest neighbours and their distance in Å.
Element x y z (fractional)
V: 0.0000 0.0000 0.0000  6 Cu 2.30
Cu: 0.0000 0.0000 0.5000  2 V 2.30
Cu: 0.0000 0.5000 0.0000  2 V 2.30
Cu: 0.5000 0.0000 0.0000  2 V 2.30
Se: 0.5000 0.5000 0.5000  12 Cu 3.25



A relaxed FeCoSi2 crystal, computed with GGA-PBE.

Properties
- theoretical density (g/cm³) = 6.52
- formation energy (no corrections) (meV per atom) = -482
- D(E_F) (states/eV/cell) = 3.01
- calculated volume (Å³/atom) = 10.88
- VASP energy (eV/atom) = -7.0854

Cell: 4.3943 4.3943 3.9700 Å, 104.14 104.14 35.98°
Last column: nearest neighbours and their distance in Å.
Element x y z (fractional)
Fe: 0.0000 0.0000 0.0000  7 Si 2.35-2.42
Co: 0.2311 0.2311 0.6055  7 Si 2.33-2.41
Si: 0.4910 0.4910 0.4908  3 Co 2.33-2.37, 4 Fe 2.39-2.42
Si: 0.7372 0.7372 0.1092  3 Fe 2.35, 4 Co 2.40-2.41



A relaxed HgGeAsO6 crystal, computed with GGA-PBE.

Properties
- theoretical density (g/cm³) = 6.96
- formation energy (no corrections) (meV per atom) = -964
- D(E_F) (states/eV/cell) = 15.97
- calculated volume (Å³/atom) = 11.77
- VASP energy (eV/atom) = -5.3327

Cell: 5.0350 5.0350 9.6523 Å, 90.00 90.00 120.00°
Last column: nearest neighbours and their distance in Å.
Element x y z (fractional)
Hg: 0.0000 0.0000 0.0000  6 O 2.35
Hg: 0.0000 0.0000 0.5000  6 O 2.35
Ge: 0.3333 0.6667 0.2500  6 O 1.91
Ge: 0.6667 0.3333 0.7500  6 O 1.91
As: 0.3333 0.6667 0.7500  6 O 1.86
As: 0.6667 0.3333 0.2500  6 O 1.86
O: 0.0075 0.3794 0.6436  1 As 1.86, 1 Ge 1.91
O: 0.0075 0.6281 0.8564  1 As 1.86, 1 Ge 1.91
O: 0.3719 0.3794 0.8564  1 As 1.86, 1 Ge 1.91
O: 0.3719 0.9925 0.6436  1 As 1.86, 1 Ge 1.91
O: 0.3794 0.0075 0.1436  1 As 1.86, 1 Ge 1.91
O: 0.3794 0.3719 0.3564  1 As 1.86, 1 Ge 1.91
O: 0.6206 0.6281 0.6436  1 As 1.86, 1 Ge 1.91
O: 0.6206 0.9925 0.8564  1 As 1.86, 1 Ge 1.91
O: 0.6281 0.0075 0.3564  1 As 1.86, 1 Ge 1.91
O: 0.6281 0.6206 0.1436  1 As 1.86, 1 Ge 1.91
O: 0.9925 0.3719 0.1436  1 As 1.86, 1 Ge 1.91
O: 0.9925 0.6206 0.3564  1 As 1.86, 1 Ge 1.91



A relaxed Ta3Pd8 crystal, computed with GGA-PBE.

Properties
- theoretical density (g/cm³) = 11.86
- D(E_F) (states/eV/cell) = 7.80
- calculated volume (Å³/atom) = 17.75
- DFT formation energy (eV per formula unit) = 0.8
- VASP energy (eV/atom) = -6.9337

Cell: 6.1969 6.1969 6.1969 Å, 107.54 107.54 107.54°
Last column: nearest neighbours and their distance in Å.
Element x y z (fractional)
Ta: 0.0000 0.5000 0.5000  6 Pd 2.55-2.79
Ta: 0.5000 0.0000 0.5000  6 Pd 2.55-2.79
Ta: 0.5000 0.5000 0.0000  6 Pd 2.55-2.79
Pd: 0.0024 0.3213 0.8216  3 Ta 2.55-2.79, 5 Pd 2.61-2.77
Pd: 0.1784 0.9976 0.6787  3 Ta 2.55-2.79, 5 Pd 2.61-2.77
Pd: 0.2934 0.2934 0.2934  4 Pd 2.80-3.02, 3 Ta 2.90
Pd: 0.3213 0.8216 0.0024  3 Ta 2.55-2.79, 5 Pd 2.61-2.77
Pd: 0.6787 0.1784 0.9976  3 Ta 2.55-2.79, 5 Pd 2.61-2.77
Pd: 0.7066 0.7066 0.7066  4 Pd 2.80-3.02, 3 Ta 2.90
Pd: 0.8216 0.0024 0.3213  3 Ta 2.55-2.79, 5 Pd 2.61-2.77
Pd: 0.9976 0.6787 0.1784  3 Ta 2.55-2.79, 5 Pd 2.61-2.77



A relaxed AcH8Rh2 crystal, computed with GGA-PBE.

Properties
- theoretical density (g/cm³) = 6.79
- D(E_F) (states/eV/cell) = 4.39
- calculated volume (Å³/atom) = 9.79
- VASP energy (eV/atom) = -4.2816

Cell: 6.2389 6.2389 6.2389 Å, 137.95 137.95 60.98°
Last column: nearest neighbours and their distance in Å.
Element x y z (fractional)
Ac: 0.0000 0.0000 0.0000  8 H 2.52
H: 0.1081 0.1081 0.5533  1 H 1.78, 2 Rh 1.82
H: 0.1081 0.5549 0.0000  1 H 1.78, 2 Rh 1.82
H: 0.4451 0.4451 0.5533  1 H 1.78, 2 Rh 1.82
H: 0.4451 0.8919 0.0000  1 H 1.78, 2 Rh 1.82
H: 0.5549 0.1081 0.0000  1 H 1.78, 2 Rh 1.82
H: 0.5549 0.5549 0.4467  1 H 1.78, 2 Rh 1.82
H: 0.8919 0.4451 0.0000  1 H 1.78, 2 Rh 1.82
H: 0.8919 0.8919 0.4467  1 H 1.78, 2 Rh 1.82
Rh: 0.2500 0.7500 0.5000  8 H 1.82
Rh: 0.7500 0.2500 0.5000  8 H 1.82



A relaxed CsMg3Rh crystal, computed with GGA-PBE.

Properties
- theoretical density (g/cm³) = 3.51
- D(E_F) (states/eV/cell) = 1.55
- calculated volume (Å³/atom) = 29.18
- DFT formation energy (eV per formula unit) = -0.1
- offset from the most stable computed form (eV per atom) = 0.000
- VASP energy (eV/atom) = -2.6079

Cell: 5.2641 5.2641 5.2641 Å, 90.00 90.00 90.00°
Last column: nearest neighbours and their distance in Å.
Element x y z (fractional)
Cs: 0.0000 0.0000 0.0000  12 Mg 3.72
Mg: 0.0000 0.5000 0.5000  2 Rh 2.63
Mg: 0.5000 0.0000 0.5000  2 Rh 2.63
Mg: 0.5000 0.5000 0.0000  2 Rh 2.63
Rh: 0.5000 0.5000 0.5000  6 Mg 2.63



A relaxed CaCuMo2 crystal, computed with GGA-PBE.

Properties
- theoretical density (g/cm³) = 7.23
- D(E_F) (states/eV/cell) = 4.46
- calculated volume (Å³/atom) = 16.96
- DFT formation energy (eV per formula unit) = 2.4
- offset from the most stable computed form (eV per atom) = 0.252
- VASP energy (eV/atom) = -6.3476

Cell: 2.7038 2.7038 9.3231 Å, 90.00 90.00 95.36°
Last column: nearest neighbours and their distance in Å.
Element x y z (fractional)
Ca: 0.0000 0.0000 0.0000  4 Ca 2.70
Cu: 0.0000 0.0000 0.5000  8 Mo 2.70-2.82, 4 Cu 2.70
Mo: 0.5000 0.5000 0.2860  4 Cu 2.70-2.82, 4 Mo 2.70
Mo: 0.5000 0.5000 0.7140  4 Cu 2.70-2.82, 4 Mo 2.70